This record from Alexandria describes RbGe2Cl8 after structural relaxation. The functional is GGA-PBE.

Cell and atoms, written as CIF:
```
data_RbGe2Cl8
_cell_length_a 13.470
_cell_length_b 7.308
_cell_length_c 8.506
_cell_angle_alpha 90.00
_cell_angle_beta 111.63
_cell_angle_gamma 90.00
_space_group_name_H-M_alt 'C 1 2/m 1'
_space_group_IT_number 12
_space_group_name_Hall '-C 2y'
loop_
_atom_site_label
_atom_site_type_symbol
_atom_site_fract_x
_atom_site_fract_y
_atom_site_fract_z
Rb1 Rb 0.000 0.000 0.000
Ge1 Ge 0.207 0.000 0.699
Cl1 Cl 0.118 0.500 0.141
Cl2 Cl 0.128 0.241 0.760
Cl3 Cl 0.180 0.000 0.424
```

Calculated values
- theoretical density (g/cm³) = 2.2
- E_form (uncorrected) (meV/atom) = -1007
- D(E_F) (states/eV per atom) = 0.448
- electronic total energy (eV per atom) = -3.278
- total magnetic moment (μB/f.u.) = 0.00
- volume (A^3/atom) = 35.38